# ScMnSb2

ScMnSb2 after structural relaxation (PBE, the Alexandria database).

For the uncorrected energy, the calculation gives -6.184 eV/atom. The formation energy from raw total energies comes out at -0.248 eV per atom. Its symmetry is No. 44. The density of states at the Fermi level comes out at 3.47 states/eV/cell.

a b c (Å): 6.4192 6.4192 6.4192
angles (deg): 144.99 143.44 51.52
Fractional positions:
Sc: 0.0000 0.0000 0.0000
Mn: 0.2528 0.7528 0.5000
Sb: 0.4320 0.4320 0.0000
Sb: 0.6937 0.1937 0.5000